# 1
DFT (GGA-PBE) results for a geometry-optimized NdMg2S3 structure.

Cell and atoms, written as POSCAR:
```
NdMg2S3
1.0
3.768 0.000 0.000
-1.884 3.263 0.000
0.000 0.000 9.652
Nd S Mg
1 3 2
direct
0.000 0.000 0.000
0.333 0.667 0.196
0.667 0.333 0.804
0.000 0.000 0.500
0.333 0.667 0.655
0.667 0.333 0.345
```

Calculated values
For the total energy, the calculation gives -29.56 eV per formula unit.



# 2
DFT (GGA-PBE) results for a geometry-optimized NdMgS2 structure.

Cell and atoms, written as POSCAR:
```
NdMgS2
1.0
3.954 0.000 0.000
0.000 3.954 0.000
0.000 0.000 5.650
Nd Mg S
1 1 2
direct
0.500 0.500 0.000
0.000 0.000 0.500
0.500 0.500 0.500
0.000 0.000 0.000
```

Calculated values
For the total energy, the calculation gives -20.77 eV per formula unit.



# 3
DFT (GGA-PBE) results for a geometry-optimized Nd2MgS3 structure.

Cell and atoms, written as POSCAR:
```
Nd2MgS3
1.0
3.918 0.000 0.000
-1.959 3.393 0.000
0.000 0.000 9.896
S Nd Mg
3 2 1
direct
0.000 0.000 0.000
0.333 0.667 0.643
0.667 0.333 0.357
0.333 0.667 0.166
0.667 0.333 0.834
0.000 0.000 0.500
```

Calculated values
For the total energy, the calculation gives -34.12 eV per formula unit.



# 4
DFT (GGA-PBE) results for a geometry-optimized NdMgTlS3 structure.

Cell and atoms, written as POSCAR:
```
NdMgTlS3
1.0
4.297 1.700 5.752
-5.209 2.246 -4.718
-7.946 -3.678 7.023
S Tl Nd Mg
6 2 2 2
direct
0.375 0.625 0.432
0.375 0.625 0.068
0.061 0.939 0.250
0.625 0.375 0.932
0.625 0.375 0.568
0.939 0.061 0.750
0.248 0.752 0.750
0.752 0.248 0.250
0.000 0.000 0.500
0.000 0.000 0.000
0.466 0.534 0.250
0.534 0.466 0.750
```

Calculated values
Its energy above the most stable polymorph in this dataset is 2.9 meV per atom.



# 5
DFT (GGA-PBE) results for a geometry-optimized NdMgTlS3 structure.

Cell and atoms, written as POSCAR:
```
NdMgTlS3
1.0
-9.359 6.047 -1.636
-2.110 -2.589 2.500
3.232 7.974 10.986
Tl Nd S Mg
4 4 12 4
direct
0.713 0.750 0.004
0.787 0.250 0.504
0.213 0.750 0.496
0.287 0.250 0.996
0.986 0.750 0.763
0.014 0.250 0.237
0.514 0.250 0.263
0.486 0.750 0.737
0.261 0.250 0.309
0.955 0.750 0.369
0.045 0.250 0.631
0.590 0.750 0.383
0.545 0.250 0.869
0.910 0.250 0.883
0.739 0.750 0.691
0.410 0.250 0.617
0.455 0.750 0.131
0.761 0.250 0.191
0.239 0.750 0.809
0.090 0.750 0.117
0.266 0.750 0.214
0.234 0.250 0.714
0.766 0.750 0.286
0.734 0.250 0.786
```

Calculated values
Its energy above the most stable polymorph in this dataset is 0.0 meV per atom.



# 6
DFT (GGA-PBE) results for a geometry-optimized NdMg6Sc structure.

Cell and atoms, written as POSCAR:
```
NdMg6Sc
1.0
-4.610 0.370 2.178
1.678 -2.693 4.009
2.059 6.198 3.303
Mg Sc Nd
6 1 1
direct
0.000 0.500 0.265
0.000 0.000 0.500
0.500 0.000 0.735
0.500 0.000 0.265
0.500 0.500 0.000
0.000 0.500 0.735
0.500 0.500 0.500
0.000 0.000 0.000
```

Calculated values
For the total energy, the calculation gives -20.92 eV per formula unit.



# 7
DFT (GGA-PBE) results for a geometry-optimized Nd2MgSi2 structure.

Cell and atoms, written as POSCAR:
```
Nd2MgSi2
1.0
7.385 0.000 0.000
0.000 7.385 0.000
0.000 0.000 4.360
Si Nd Mg
4 4 2
direct
0.115 0.385 0.000
0.615 0.115 0.000
0.385 0.885 0.000
0.885 0.615 0.000
0.820 0.320 0.500
0.680 0.820 0.500
0.180 0.680 0.500
0.320 0.180 0.500
0.500 0.500 0.000
0.000 0.000 0.000
```

Calculated values
For the total energy, the calculation gives -25.31 eV per formula unit.



# 8
DFT (GGA-PBE) results for a geometry-optimized NdMg2Si2 structure.

Cell and atoms, written as POSCAR:
```
NdMg2Si2
1.0
7.519 0.000 0.000
0.000 7.519 0.000
0.000 0.000 3.935
Si Nd Mg
4 2 4
direct
0.113 0.613 0.000
0.387 0.113 0.000
0.887 0.387 0.000
0.613 0.887 0.000
0.500 0.500 0.000
0.000 0.000 0.000
0.667 0.167 0.500
0.833 0.667 0.500
0.167 0.333 0.500
0.333 0.833 0.500
```

Calculated values
For the total energy, the calculation gives -19.30 eV per formula unit.